Crystalline GdGaHg2 at its relaxed geometry, computed with PBE.

Lattice parameters (Å, degrees): 4.4612 4.4612 4.7070 90.00 90.00 90.00
Closest atoms and distances in Å follow each position.
Sites, in units of the cell vectors:
Gd 0.0000 0.0000 0.0000  4 Ga 3.15, 8 Hg 3.24
Ga 0.5000 0.5000 0.0000  4 Gd 3.15, 8 Hg 3.24
Hg 0.0000 0.5000 0.5000  4 Hg 3.15, 4 Ga 3.24, 4 Gd 3.24
Hg 0.5000 0.0000 0.5000  4 Hg 3.15, 4 Ga 3.24, 4 Gd 3.24

- total magnetization (Bohr magnetons per cell) = 7.44
- VASP energy (eV per atom) = -4.7829
- energy of formation (eV per atom) = -0.355
- space-group type = P4/mmm, No. 123



Crystalline GdInGaHg at its relaxed geometry, computed with PBE.

Lattice parameters (Å, degrees): 5.1278 5.1278 5.1278 60.00 60.00 60.00
Closest atoms and distances in Å follow each position.
Sites, in units of the cell vectors:
Gd 0.0000 0.0000 0.0000  4 Hg 3.14, 4 Ga 3.14
In 0.5000 0.5000 0.5000  4 Hg 3.14, 4 Ga 3.14
Ga 0.2500 0.2500 0.2500  4 Gd 3.14, 4 In 3.14
Hg 0.7500 0.7500 0.7500  4 Gd 3.14, 4 In 3.14

- total magnetization (Bohr magnetons per cell) = 6.82
- VASP energy (eV per atom) = -5.3508
- energy of formation (eV per atom) = -0.314
- space-group type = F-43m, No. 216



Crystalline LaGdGaHg at its relaxed geometry, computed with PBE.

Lattice parameters (Å, degrees): 5.3438 5.3438 5.3438 60.00 60.00 60.00
Closest atoms and distances in Å follow each position.
Sites, in units of the cell vectors:
La 0.0000 0.0000 0.0000  4 Hg 3.27, 4 Ga 3.27
Gd 0.5000 0.5000 0.5000  4 Hg 3.27, 4 Ga 3.27
Ga 0.2500 0.2500 0.2500  4 Gd 3.27, 4 La 3.27
Hg 0.7500 0.7500 0.7500  4 Gd 3.27, 4 La 3.27

- total magnetization (Bohr magnetons per cell) = 8.03
- VASP energy (eV per atom) = -6.1099
- energy of formation (eV per atom) = -0.526
- space-group type = F-43m, No. 216



Crystalline GdLuGaHg at its relaxed geometry, computed with PBE.

Lattice parameters (Å, degrees): 5.1565 5.1565 5.1565 60.00 60.00 60.00
Closest atoms and distances in Å follow each position.
Sites, in units of the cell vectors:
Gd 0.0000 0.0000 0.0000  4 Hg 3.16, 4 Ga 3.16
Lu 0.5000 0.5000 0.5000  4 Hg 3.16, 4 Ga 3.16
Ga 0.7500 0.7500 0.7500  4 Gd 3.16, 4 Lu 3.16
Hg 0.2500 0.2500 0.2500  4 Gd 3.16, 4 Lu 3.16

- total magnetization (Bohr magnetons per cell) = 7.57
- VASP energy (eV per atom) = -5.9890
- energy of formation (eV per atom) = -0.506
- space-group type = F-43m, No. 216



Crystalline GdMgGaHg at its relaxed geometry, computed with PBE.

Lattice parameters (Å, degrees): 5.0389 5.0389 5.0389 60.00 60.00 60.00
Closest atoms and distances in Å follow each position.
Sites, in units of the cell vectors:
Gd 0.0000 0.0000 0.0000  4 Hg 3.09, 4 Ga 3.09
Mg 0.5000 0.5000 0.5000  4 Hg 3.09, 4 Ga 3.09
Ga 0.2500 0.2500 0.2500  4 Gd 3.09, 4 Mg 3.09
Hg 0.7500 0.7500 0.7500  4 Gd 3.09, 4 Mg 3.09

- total magnetization (Bohr magnetons per cell) = 7.02
- VASP energy (eV per atom) = -5.2015
- energy of formation (eV per atom) = -0.450
- space-group type = F-43m, No. 216



Crystalline NaGdGaHg at its relaxed geometry, computed with PBE.

Lattice parameters (Å, degrees): 5.1357 5.1357 5.1357 60.00 60.00 60.00
Closest atoms and distances in Å follow each position.
Sites, in units of the cell vectors:
Na 0.0000 0.0000 0.0000  4 Hg 3.14, 4 Ga 3.14
Gd 0.5000 0.5000 0.5000  4 Hg 3.14, 4 Ga 3.14
Ga 0.7500 0.7500 0.7500  4 Gd 3.14, 4 Na 3.14
Hg 0.2500 0.2500 0.2500  4 Gd 3.14, 4 Na 3.14

- total magnetization (Bohr magnetons per cell) = 7.10
- VASP energy (eV per atom) = -4.9985
- energy of formation (eV per atom) = -0.316
- space-group type = F-43m, No. 216